Material: KRb2Hg
Method: DFT, PBEsol
State: relaxed

Properties
- E_form (eV per atom) = -0.020
- SG = I-42d (122)
- raw total energy (eV/atom) = -0.958

Cell lengths 7.457, 8.831, 8.831 Å; angles 79.73, 65.03, 65.03 degrees
Fractional positions:
1 Hg 0.000 0.000 0.000
2 Hg 0.750 0.500 0.500
3 Rb 0.042 0.083 0.583
4 Rb 0.375 0.583 0.917
5 Rb 0.875 0.417 0.083
6 Rb 0.708 0.917 0.417
7 K 0.500 0.000 0.000
8 K 0.250 0.500 0.500

Material: KRb2Hg2
Method: DFT, PBEsol
State: relaxed

Properties
- E_form (eV per atom) = -0.082
- SG = I4/mmm (139)
- distance to the lowest polymorph of the same formula (eV per formula unit) = 0.00
- raw total energy (eV/atom) = -0.946

Cell lengths 5.626, 5.626, 8.291 Å; angles 109.83, 109.83, 90.00 degrees
Fractional positions:
1 Hg 0.597 0.597 0.194
2 Hg 0.403 0.403 0.806
3 K 0.000 0.000 0.000
4 Rb 0.750 0.250 0.500
5 Rb 0.250 0.750 0.500

Material: K2RbYHg
Method: DFT, PBEsol
State: relaxed

Properties
- E_form (eV per atom) = 0.876
- SG = P4/mmm (123)
- raw total energy (eV/atom) = -1.261

Cell lengths 7.382, 7.255, 7.255 Å; angles 90.00, 90.00, 90.00 degrees
Fractional positions:
1 Rb 0.500 0.000 0.000
2 K 0.000 0.000 0.500
3 K 0.000 0.500 0.000
4 Hg 0.500 0.500 0.500
5 Y 0.000 0.000 0.000